Material: LaHgSb
Method: DFT, GGA-PBEsol
State: optimized geometry

Summary:
For the density, the calculation gives 8.96 g/cm3. The calculation puts the uncorrected energy at -12.84 eV per cell. Its volume is 28.48 Å³/atom. As for the crystal system: trigonal. The calculation puts the uncorrected formation energy at -76.3 kJ per mole of atoms.

abc: 4.7201 4.7201 4.4287
angles: 90.00 90.00 120.00
Last column: nearest neighbours and their distance in Å.
Positions (direct):
La 0.0000 0.0000 0.0000  3 Hg 3.08, 3 Sb 3.31
Hg 0.6667 0.3333 0.3229  3 Sb 2.95, 3 La 3.08
Sb 0.3333 0.6667 0.5764  3 Hg 2.95

=====

Material: LaY2Tl
Method: DFT, GGA-PBEsol
State: optimized geometry

Summary:
The calculation puts the formation energy from the elements at -0.222 eV per atom. For the density, the calculation gives 7.13 g/cm3. The calculation puts the uncorrected energy at -45.01 eV per cell. Its volume is 30.32 Å³/atom. As for the crystal system: orthorhombic.

abc: 3.8474 5.5291 11.4025
angles: 90.00 90.00 90.00
Last column: nearest neighbours and their distance in Å.
Positions (direct):
La 0.0000 0.0000 0.0000  4 Tl 3.37, 8 Y 3.73
La 0.5000 0.5000 0.5000  4 Tl 3.37, 8 Y 3.73
Y 0.0000 0.5000 0.2199  2 Tl 3.16, 4 Y 3.44
Y 0.0000 0.5000 0.7801  2 Tl 3.16, 4 Y 3.44
Y 0.5000 0.0000 0.2801  2 Tl 3.16, 4 Y 3.44
Y 0.5000 0.0000 0.7199  2 Tl 3.16, 4 Y 3.44
Tl 0.0000 0.0000 0.5000  4 Y 3.16, 4 La 3.37
Tl 0.5000 0.5000 0.0000  4 Y 3.16, 4 La 3.37

=====

Material: Zr2InCo
Method: DFT, GGA-PBEsol
State: optimized geometry

Summary:
The calculation puts the formation energy from the elements at -0.137 eV per atom. For the density, the calculation gives 8.12 g/cm3. The calculation puts the uncorrected energy at -29.45 eV per cell. Its volume is 18.22 Å³/atom. As for the crystal system: tetragonal.

abc: 4.2569 4.2569 4.0220
angles: 90.00 90.00 90.00
Last column: nearest neighbours and their distance in Å.
Positions (direct):
Zr 0.0000 0.5000 0.0000  4 In 2.93, 4 Co 2.93, 4 Zr 3.01
Zr 0.5000 0.0000 0.0000  4 In 2.93, 4 Co 2.93, 4 Zr 3.01
In 0.0000 0.0000 0.5000  8 Zr 2.93, 4 Co 3.01
Co 0.5000 0.5000 0.5000  8 Zr 2.93, 4 In 3.01

=====

Material: Li2YCd
Method: DFT, GGA-PBEsol
State: optimized geometry

Summary:
The calculation puts the formation energy from the elements at -0.094 eV per atom. For the density, the calculation gives 4.18 g/cm3. The calculation puts the uncorrected energy at -24.65 eV per cell. Its volume is 21.38 Å³/atom. As for the crystal system: orthorhombic.

abc: 4.2788 4.9617 8.0556
angles: 90.00 90.00 90.00
Last column: nearest neighbours and their distance in Å.
Positions (direct):
Li 0.0000 0.0000 0.0000  2 Li 2.79, 2 Cd 2.87
Li 0.0000 0.5000 0.2785  2 Li 2.79, 4 Y 3.05-3.10
Li 0.5000 0.0000 0.7785  2 Li 2.79, 4 Y 3.05-3.10
Li 0.5000 0.5000 0.5000  2 Li 2.79, 2 Cd 2.87
Y 0.0000 0.0000 0.5086  8 Li 3.05-3.28, 4 Cd 3.05-3.10
Y 0.5000 0.5000 0.0086  8 Li 3.05-3.28, 4 Cd 3.05-3.10
Cd 0.0000 0.5000 0.7384  2 Li 2.87, 4 Y 3.05-3.10
Cd 0.5000 0.0000 0.2384  2 Li 2.87, 4 Y 3.05-3.10

=====

Repeat the fourth record exactly.
Material: Li2YCd
Method: DFT, GGA-PBEsol
State: optimized geometry

Summary:
The calculation puts the formation energy from the elements at -0.094 eV per atom. For the density, the calculation gives 4.18 g/cm3. The calculation puts the uncorrected energy at -24.65 eV per cell. Its volume is 21.38 Å³/atom. As for the crystal system: orthorhombic.

abc: 4.2788 4.9617 8.0556
angles: 90.00 90.00 90.00
Last column: nearest neighbours and their distance in Å.
Positions (direct):
Li 0.0000 0.0000 0.0000  2 Li 2.79, 2 Cd 2.87
Li 0.0000 0.5000 0.2785  2 Li 2.79, 4 Y 3.05-3.10
Li 0.5000 0.0000 0.7785  2 Li 2.79, 4 Y 3.05-3.10
Li 0.5000 0.5000 0.5000  2 Li 2.79, 2 Cd 2.87
Y 0.0000 0.0000 0.5086  8 Li 3.05-3.28, 4 Cd 3.05-3.10
Y 0.5000 0.5000 0.0086  8 Li 3.05-3.28, 4 Cd 3.05-3.10
Cd 0.0000 0.5000 0.7384  2 Li 2.87, 4 Y 3.05-3.10
Cd 0.5000 0.0000 0.2384  2 Li 2.87, 4 Y 3.05-3.10

=====

Repeat the first record exactly.
Material: LaHgSb
Method: DFT, GGA-PBEsol
State: optimized geometry

Summary:
For the density, the calculation gives 8.96 g/cm3. The calculation puts the uncorrected energy at -12.84 eV per cell. Its volume is 28.48 Å³/atom. As for the crystal system: trigonal. The calculation puts the uncorrected formation energy at -76.3 kJ per mole of atoms.

abc: 4.7201 4.7201 4.4287
angles: 90.00 90.00 120.00
Last column: nearest neighbours and their distance in Å.
Positions (direct):
La 0.0000 0.0000 0.0000  3 Hg 3.08, 3 Sb 3.31
Hg 0.6667 0.3333 0.3229  3 Sb 2.95, 3 La 3.08
Sb 0.3333 0.6667 0.5764  3 Hg 2.95